No. 1
VASP calculation (PBE) on Ag2PBr after structural relaxation.

```
Ag2PBr
1.0
3.544 0.000 0.000
0.000 3.982 0.000
0.000 0.000 6.884
Ag P Br
2 1 1
direct
0.000 0.000 0.000
0.500 0.000 0.500
0.000 0.500 0.500
0.500 0.500 0.000
```

Calculated values
The value obtained for the uncorrected formation energy is 0.383 eV/atom.

No. 2
VASP calculation (PBE) on AgPBr4 after structural relaxation.

```
AgPBr4
1.0
6.917 0.000 0.000
0.000 14.394 0.000
-3.514 0.000 9.682
Ag P Br
4 4 16
direct
0.218 0.003 0.499
0.218 0.497 0.999
0.782 0.503 0.001
0.782 0.997 0.501
0.282 0.181 0.189
0.282 0.319 0.689
0.718 0.681 0.311
0.718 0.819 0.811
0.052 0.137 0.603
0.052 0.363 0.103
0.204 0.136 0.970
0.204 0.364 0.470
0.394 0.029 0.296
0.394 0.471 0.796
0.410 0.746 0.266
0.410 0.754 0.766
0.590 0.246 0.234
0.590 0.254 0.734
0.606 0.529 0.204
0.606 0.971 0.704
0.796 0.636 0.530
0.796 0.864 0.030
0.948 0.637 0.897
0.948 0.863 0.397
```

Calculated values
The calculation puts the energy above the most stable polymorph in this dataset at 0 meV/atom. The value obtained for the uncorrected formation energy is -0.293 eV/atom.

No. 3
VASP calculation (PBE) on Ag2PBr6 after structural relaxation.

```
Ag2PBr6
1.0
7.707 -7.489 0.000
7.707 7.489 0.000
-2.830 0.000 6.380
Ag P Br
4 2 12
direct
0.219 0.223 0.132
0.223 0.219 0.632
0.777 0.781 0.368
0.781 0.777 0.868
0.333 0.667 0.750
0.667 0.333 0.250
0.070 0.309 0.851
0.185 0.700 0.924
0.268 0.454 0.484
0.300 0.815 0.576
0.309 0.070 0.351
0.454 0.268 0.984
0.546 0.732 0.016
0.691 0.930 0.649
0.700 0.185 0.424
0.732 0.546 0.516
0.815 0.300 0.076
0.930 0.691 0.149
```

Calculated values
The calculation puts the energy above the most stable polymorph in this dataset at 0 meV/atom. The value obtained for the uncorrected formation energy is -0.246 eV/atom.

No. 4
VASP calculation (PBE) on AgPBr2 after structural relaxation.

```
AgPBr2
1.0
3.710 0.000 0.000
0.000 4.029 0.000
0.000 0.000 7.516
Ag P Br
1 1 2
direct
0.000 0.000 0.000
0.500 0.000 0.500
0.000 0.500 0.500
0.500 0.500 0.000
```

Calculated values
The calculation puts the energy above the most stable polymorph in this dataset at 314 meV/atom. The value obtained for the uncorrected formation energy is 0.358 eV/atom.

No. 5
VASP calculation (PBE) on AgPBr2 after structural relaxation.

```
AgPBr2
1.0
-2.618 2.618 8.079
2.618 -2.618 8.079
2.618 2.618 -8.079
Ag P Br
2 2 4
direct
0.000 0.000 0.000
0.750 0.250 0.500
0.250 0.750 0.500
0.500 0.500 0.000
0.154 0.625 0.029
0.375 0.404 0.529
0.596 0.125 0.971
0.875 0.846 0.471
```

Calculated values
The calculation puts the energy above the most stable polymorph in this dataset at 328 meV/atom. The value obtained for the uncorrected formation energy is 0.372 eV/atom.

No. 6
VASP calculation (PBE) on AgPBr2 after structural relaxation.

```
AgPBr2
1.0
3.399 0.000 0.000
0.000 3.908 0.000
-1.556 0.000 7.457
Ag P Br
1 1 2
direct
0.000 0.000 0.000
0.000 0.000 0.500
0.107 0.500 0.743
0.893 0.500 0.257
```

Calculated values
The calculation puts the energy above the most stable polymorph in this dataset at 286 meV/atom. The value obtained for the uncorrected formation energy is 0.331 eV/atom.

No. 7
VASP calculation (PBE) on Ag2PBr after structural relaxation.

```
Ag2PBr
1.0
-1.766 3.573 3.953
1.766 -3.573 3.953
1.766 3.573 -3.953
Ag P Br
2 1 1
direct
0.225 0.225 0.000
0.775 0.775 0.000
0.000 0.500 0.500
0.500 0.000 0.500
```

Calculated values
The value obtained for the uncorrected formation energy is 0.317 eV/atom.

No. 8
VASP calculation (PBE) on AgPBr2 after structural relaxation.

```
AgPBr2
1.0
5.069 0.000 0.000
0.000 5.069 0.000
0.000 0.000 3.405
Ag P Br
1 1 2
direct
0.000 0.000 0.000
0.500 0.500 0.000
0.000 0.500 0.500
0.500 0.000 0.500
```

Calculated values
The calculation puts the energy above the most stable polymorph in this dataset at 488 meV/atom. The value obtained for the uncorrected formation energy is 0.533 eV/atom.